[1]
Sn2Bi3Pb4 | PBE | relaxed

Lattice parameters (Å, degrees): 6.686 9.464 9.464 72.43 91.75 91.75
Positions (direct):
Bi1 0.578 0.701 0.953
Bi2 0.422 0.299 0.047
Bi3 0.078 0.953 0.701
Bi4 0.250 0.394 0.606
Bi5 0.750 0.606 0.394
Bi6 0.922 0.047 0.299
Pb1 0.008 0.808 0.086
Pb2 0.508 0.086 0.808
Pb3 0.492 0.914 0.192
Pb4 0.375 0.157 0.416
Pb5 0.625 0.843 0.584
Pb6 0.992 0.192 0.914
Pb7 0.125 0.584 0.843
Pb8 0.875 0.416 0.157
Sn1 0.176 0.756 0.463
Sn2 0.824 0.244 0.537
Sn3 0.324 0.537 0.244
Sn4 0.676 0.463 0.756

Results
ΔH_f (0 K) (eV/atom): 0.060

[2]
Sn3Bi2Pb8 | PBE | relaxed

Lattice parameters (Å, degrees): 5.776 8.778 8.778 82.50 77.40 77.40
Positions (direct):
Pb1 0.412 0.384 0.889
Pb2 0.934 0.141 0.141
Pb3 0.201 0.568 0.568
Pb4 0.066 0.859 0.859
Pb5 0.588 0.111 0.616
Pb6 0.799 0.432 0.432
Pb7 0.588 0.616 0.111
Pb8 0.412 0.889 0.384
Bi1 0.359 0.277 0.277
Bi2 0.641 0.723 0.723
Sn1 0.500 0.000 0.000
Sn2 0.000 0.239 0.761
Sn3 0.000 0.761 0.239

Results
Excess energy over the best structure of this formula in the dataset (meV/atom): 0
ΔH_f (0 K) (eV/atom): 0.076

[3]
Sn4Bi4Pb3 | PBE | relaxed

Lattice parameters (Å, degrees): 4.497 8.842 10.322 115.36 102.58 90.00
Positions (direct):
Bi1 0.500 0.774 0.000
Bi2 0.500 0.226 0.000
Bi3 0.190 0.690 0.379
Bi4 0.810 0.310 0.621
Sn1 0.676 0.934 0.353
Sn2 0.324 0.581 0.647
Sn3 0.324 0.066 0.647
Sn4 0.676 0.419 0.353
Pb1 0.903 0.903 0.806
Pb2 0.097 0.097 0.194
Pb3 0.000 0.500 0.000

Results
ΔH_f (0 K) (eV/atom): 0.083